# 1
Below is TbSm3In3 after structural relaxation, with properties calculated at the PBE level.

a b c (Å): 9.457 9.457 9.457
angles (deg): 90.00 90.00 90.00
Element x y z (fractional)
In1 0.753 0.629 0.999
In2 0.371 0.499 0.747
In3 0.001 0.253 0.871
In4 0.999 0.753 0.629
In5 0.247 0.129 0.501
In6 0.501 0.247 0.129
In7 0.629 0.999 0.753
In8 0.871 0.001 0.253
In9 0.253 0.871 0.001
In10 0.747 0.371 0.499
In11 0.499 0.747 0.371
In12 0.129 0.501 0.247
Sm1 0.325 0.825 0.675
Sm2 0.928 0.928 0.928
Sm3 0.825 0.675 0.325
Sm4 0.175 0.175 0.175
Sm5 0.326 0.174 0.826
Sm6 0.674 0.674 0.674
Sm7 0.572 0.072 0.428
Sm8 0.826 0.326 0.174
Sm9 0.174 0.826 0.326
Sm10 0.072 0.428 0.572
Sm11 0.675 0.325 0.825
Sm12 0.428 0.572 0.072
Tb1 0.924 0.076 0.576
Tb2 0.424 0.424 0.424
Tb3 0.076 0.576 0.924
Tb4 0.576 0.924 0.076

Results
energy above the most stable polymorph in this dataset = 0 meV/atom
formation enthalpy at 0 K = -330 meV per atom
ρ = 7.50 g cm⁻³

***

# 2
Below is Pr6HgGe2Te3 after structural relaxation, with properties calculated at the PBE level.

a b c (Å): 4.429 9.058 10.014
angles (deg): 104.02 102.77 90.00
Element x y z (fractional)
Hg1 0.500 0.000 0.000
Te1 0.500 0.500 0.000
Te2 0.164 0.833 0.329
Te3 0.836 0.167 0.671
Pr1 0.007 0.258 0.015
Pr2 0.673 0.569 0.345
Pr3 0.669 0.104 0.339
Pr4 0.327 0.431 0.655
Pr5 0.993 0.742 0.985
Pr6 0.331 0.896 0.661
Ge1 0.166 0.332 0.333
Ge2 0.834 0.668 0.667

Results
final energy = -5.081 eV/atom
ρ = 6.89 g cm⁻³

***

# 3
Below is TiSeN2 after structural relaxation, with properties calculated at the PBE level.

a b c (Å): 3.934 3.934 3.934
angles (deg): 60.00 60.00 60.00
Element x y z (fractional)
N1 0.250 0.250 0.250
N2 0.750 0.750 0.750
Se1 0.500 0.500 0.500
Ti1 0.000 0.000 0.000

Results
energy above the most stable polymorph in this dataset = 1233 meV/atom
ρ = 5.97 g cm⁻³

***

# 4
Below is K3Th3BiTe8 after structural relaxation, with properties calculated at the PBE level.

a b c (Å): 9.002 9.001 9.946
angles (deg): 116.90 90.00 120.00
Element x y z (fractional)
Te1 0.239 0.479 0.715
Te2 0.261 0.521 0.282
Te3 0.761 0.521 0.285
Te4 0.739 0.479 0.718
Te5 0.239 0.975 0.715
Te6 0.761 0.025 0.285
Te7 0.736 0.975 0.715
Te8 0.264 0.025 0.285
Th1 0.000 0.500 0.500
Th2 0.500 0.000 0.500
Th3 0.500 0.500 0.500
K1 0.000 0.000 0.000
K2 0.500 0.500 0.000
K3 0.000 0.500 0.000
Bi1 0.000 0.000 0.500

Results
final energy = -4.662 eV/atom
ρ = 5.70 g cm⁻³

***

# 5
Below is BeZnTePO after structural relaxation, with properties calculated at the PBE level.

a b c (Å): 5.766 3.290 11.176
angles (deg): 90.00 90.42 90.00
Element x y z (fractional)
O1 0.529 0.500 0.913
O2 0.529 0.000 0.413
Be1 0.268 0.000 0.417
Be2 0.268 0.500 0.917
Te1 0.308 0.000 0.657
Te2 0.308 0.500 0.157
P1 0.067 0.000 0.842
P2 0.067 0.500 0.342
Zn1 0.664 0.000 0.846
Zn2 0.664 0.500 0.346

Results
energy above the most stable polymorph in this dataset = 87 meV/atom
ρ = 3.90 g cm⁻³

***

# 6
Below is Sc2AlRh after structural relaxation, with properties calculated at the PBE level.

a b c (Å): 9.061 9.061 9.061
angles (deg): 20.19 20.19 20.19
Element x y z (fractional)
Sc1 0.012 0.012 0.012
Sc2 0.244 0.244 0.244
Al1 0.488 0.488 0.488
Rh1 0.755 0.755 0.755

Results
formation enthalpy at 0 K = -336 meV per atom
ρ = 4.71 g cm⁻³

***

Among the records above, which one has the lowest ρ? BeZnTePO